Li15Hg: optimized geometry, PBE.

Computed properties:
symmetry = P-6m2 (187)
energy of formation from the pure elements = -0.0640 eV/atom
total DFT energy (no corrections) = -1.877 eV per atom

Cell: 6.0127 6.0127 9.8226 Å, 90.00 90.00 120.00°
Fractional positions:
Li1 0.8361 0.1639 0.2417
Li2 0.4992 0.9983 0.0000
Li3 0.0000 0.0000 0.5000
Li4 0.5023 0.0046 0.5000
Li5 0.3279 0.1639 0.7583
Li6 0.8361 0.6721 0.2417
Li7 0.9954 0.4977 0.5000
Li8 0.4992 0.5008 0.0000
Li9 0.3279 0.1639 0.2417
Li10 0.0017 0.5008 0.0000
Li11 0.3333 0.6667 0.7439
Li12 0.5023 0.4977 0.5000
Li13 0.8361 0.1639 0.7583
Li14 0.8361 0.6721 0.7583
Li15 0.3333 0.6667 0.2561
Hg1 0.0000 0.0000 0.0000

---

AlSi2Pt: optimized geometry, PBE.

Computed properties:
uncorrected formation energy = -0.09 eV/atom
symmetry = Cmmm (65)
total DFT energy (no corrections) = -5.245 eV per atom

Cell: 4.4093 4.4097 3.3288 Å, 90.00 90.00 109.44°
Fractional positions:
Si1 0.0000 0.0000 0.0000
Si2 0.5000 0.5000 0.0000
Al1 0.5000 0.0000 0.5000
Pt1 0.0000 0.5000 0.5000

---

Sm2Ag2O5: optimized geometry, PBE.

Computed properties:
uncorrected formation energy = -1.77 eV/atom
symmetry = Ima2 (46)
ΔE to the lowest computed polymorph = 0.0 meV per atom
total DFT energy (no corrections) = -6.212 eV per atom

Cell: 9.1128 9.1128 9.1128 Å, 143.28 142.40 53.57°
Fractional positions:
Ag1 0.0000 0.9911 0.9911
Ag2 0.2554 0.2824 0.0378
Ag3 0.7446 0.7824 0.0269
Ag4 0.5000 0.4911 0.9911
O1 0.7445 0.7836 0.7825
O2 0.2555 0.0380 0.0391
O3 0.1897 0.2089 0.4870
O4 0.5011 0.2836 0.0391
O5 0.8496 0.1905 0.5401
O6 0.8103 0.2973 0.0192
O7 0.4989 0.5380 0.7825
O8 0.7781 0.7973 0.4870
O9 0.2219 0.7089 0.0192
O10 0.1504 0.6905 0.3409
Sm1 0.6237 0.1452 0.5228
Sm2 0.3763 0.8991 0.5215
Sm3 0.1223 0.6452 0.5215
Sm4 0.8777 0.3991 0.5228

---

SnAsSe3: optimized geometry, PBE.

Computed properties:
uncorrected formation energy = 0.68 eV/atom
symmetry = Pm-3m (221)
total DFT energy (no corrections) = -3.142 eV per atom

Cell: 5.2273 5.2273 5.2273 Å, 90.00 90.00 90.00°
Fractional positions:
As1 0.5000 0.5000 0.5000
Se1 0.0000 0.0000 0.5000
Se2 0.5000 0.0000 0.0000
Se3 0.0000 0.5000 0.0000
Sn1 0.0000 0.0000 0.0000

---

AlRh: optimized geometry, PBE.

Computed properties:
symmetry = Pmc2_1 (26)
energy of formation from the pure elements = -0.7654 eV/atom
total DFT energy (no corrections) = -6.312 eV per atom

Cell: 4.0799 5.2204 8.0028 Å, 90.00 90.00 90.00°
Fractional positions:
Rh1 0.0000 0.9851 0.2841
Rh2 0.0000 0.0003 0.6447
Rh3 0.5000 0.2753 0.4790
Rh4 0.0000 0.4851 0.0493
Rh5 0.5000 0.7753 0.8543
Rh6 0.0000 0.5003 0.6886
Al1 0.0000 0.4867 0.3694
Al2 0.5000 0.7326 0.1690
Al3 0.5000 0.7701 0.5330
Al4 0.0000 0.9867 0.9640
Al5 0.5000 0.2326 0.1643
Al6 0.5000 0.2701 0.8003

---

Mg2SbBr: optimized geometry, PBE.

Computed properties:
uncorrected formation energy = -0.40 eV/atom
symmetry = R3m (160)
ΔE to the lowest computed polymorph = 235.3 meV per atom
total DFT energy (no corrections) = -2.645 eV per atom

Cell: 11.0236 11.0236 11.0236 Å, 18.58 18.58 18.58°
Fractional positions:
Mg1 0.0022 0.0022 0.0022
Mg2 0.2564 0.2564 0.2564
Sb1 0.5221 0.5221 0.5221
Br1 0.7192 0.7192 0.7192

---

BaCd2PdAu: optimized geometry, PBE.

Computed properties:
symmetry = P4/mmm (123)
energy of formation from the pure elements = -0.3295 eV/atom
total DFT energy (no corrections) = -2.774 eV per atom

Cell: 5.1776 5.1776 5.4015 Å, 90.00 90.00 90.00°
Fractional positions:
Au1 0.0000 0.0000 0.5000
Pd1 0.0000 0.0000 0.0000
Cd1 0.5000 0.0000 0.0000
Cd2 0.0000 0.5000 0.0000
Ba1 0.5000 0.5000 0.5000

---

CdMo2P: optimized geometry, PBE.

Computed properties:
symmetry = P4mm (99)
energy of formation from the pure elements = 0.0798 eV/atom
ΔE to the lowest computed polymorph = 81.7 meV per atom
total DFT energy (no corrections) = -6.917 eV per atom

Cell: 3.1525 3.1525 6.8352 Å, 90.00 90.00 90.00°
Fractional positions:
Mo1 0.5000 0.5000 0.2726
Mo2 0.0000 0.0000 0.0420
Cd1 0.5000 0.5000 0.7473
P1 0.0000 0.0000 0.4381

---

KHfSbTe2: optimized geometry, PBE.

Computed properties:
uncorrected formation energy = -0.47 eV/atom
symmetry = P4/mmm (123)
ΔE to the lowest computed polymorph = 0.0 meV per atom
total DFT energy (no corrections) = -4.763 eV per atom

Cell: 5.6644 5.6644 5.5963 Å, 90.00 90.00 90.00°
Fractional positions:
K1 0.5000 0.5000 0.5000
Te1 0.0000 0.5000 0.0000
Te2 0.5000 0.0000 0.0000
Hf1 0.0000 0.0000 0.0000
Sb1 0.0000 0.0000 0.5000

---

Q: What is the total DFT energy (no corrections) in the third record?
A: -6.212 eV per atom

---

Q: Look up the total DFT energy (no corrections) of the second one.
A: -5.245 eV per atom

---

Q: Which of these has the highest total DFT energy (no corrections)?
A: Li15Hg